# CaRe2Pt

An optimized crystal structure of CaRe2Pt (PBE, Alexandria via LeMat-Bulk). Values from VASP.

The structure in Quantum ESPRESSO input format:
```
&SYSTEM
  ibrav = 0, nat = 4, ntyp = 3
/
ATOMIC_SPECIES
Ca 40.08 Ca.upf
Re 186.21 Re.upf
Pt 195.08 Pt.upf
ATOMIC_POSITIONS angstrom
Ca 0.000 0.000 0.000
Re 0.869 2.495 1.261
Re 0.869 -2.495 1.261
Pt 2.695 0.000 0.000
CELL_PARAMETERS angstrom
2.695 -4.991 0.000
2.695 4.991 0.000
-0.956 0.000 2.523
```

- Fermi-level density of states (states/eV per atom) = 0.9884
- crystal system = monoclinic
- ΔE_f (eV per formula unit) = 1.5
- ΔE to the lowest computed polymorph (eV/atom) = 0.281
- V (Å³/cell) = 67.9
- space-group type = C2/m, No. 12
- magnetization (μB/cell) = 0.0